--- 1 ---
{"formula": "YZnAg3", "functional": "PBE", "state": "optimized geometry", "dos_ef_per_ev_cell": 4.49, "cell": [[6.684, 0.000, 0.000], [-3.342, 5.789, 0.000], [0.000, 0.000, 5.340]], "species": ["Y", "Y", "Zn", "Zn", "Ag", "Ag", "Ag", "Ag", "Ag", "Ag"], "frac_coords": [[0.333, 0.667, 0.250], [0.667, 0.333, 0.750], [0.000, 0.000, 0.000], [0.000, 0.000, 0.500], [0.194, 0.388, 0.750], [0.194, 0.806, 0.750], [0.388, 0.194, 0.250], [0.612, 0.806, 0.750], [0.806, 0.194, 0.250], [0.806, 0.612, 0.250]]}

---

--- 2 ---
{"formula": "YZnAg3", "functional": "PBE", "state": "optimized geometry", "dos_ef_per_ev_cell": 3.32, "cell": [[4.838, 0.000, 0.000], [0.000, 4.838, 0.000], [0.000, 0.000, 4.838]], "species": ["Y", "Zn", "Ag", "Ag", "Ag"], "frac_coords": [[0.000, 0.000, 0.000], [0.500, 0.500, 0.500], [0.000, 0.500, 0.500], [0.500, 0.000, 0.500], [0.500, 0.500, 0.000]]}

---

--- 3 ---
{"formula": "YZnAg3", "functional": "PBE", "state": "optimized geometry", "dos_ef_per_ev_cell": 3.84, "cell": [[5.782, 0.000, 0.000], [0.000, 5.765, 0.000], [-0.391, 0.000, 5.998]], "species": ["Y", "Y", "Zn", "Zn", "Ag", "Ag", "Ag", "Ag", "Ag", "Ag"], "frac_coords": [[0.159, 0.250, 0.167], [0.841, 0.750, 0.833], [0.060, 0.750, 0.354], [0.940, 0.250, 0.646], [0.323, 0.502, 0.653], [0.323, 0.998, 0.653], [0.362, 0.750, 0.058], [0.638, 0.250, 0.942], [0.677, 0.002, 0.347], [0.677, 0.498, 0.347]]}

---

--- 4 ---
{"formula": "YZnAg3", "functional": "PBE", "state": "optimized geometry", "dos_ef_per_ev_cell": 1.05, "cell": [[5.637, 0.000, 0.000], [0.000, 5.637, 0.000], [0.000, 0.000, 5.637]], "species": ["Y", "Zn", "Ag", "Ag", "Ag"], "frac_coords": [[0.000, 0.000, 0.000], [0.500, 0.500, 0.500], [0.000, 0.000, 0.500], [0.000, 0.500, 0.000], [0.500, 0.000, 0.000]]}

---

The most stable of them is 3.

---

--- 1 ---
{"formula": "YZn4Ag", "functional": "PBE", "state": "optimized geometry", "dos_ef_per_ev_cell": 6.95, "cell": [[2.027, -8.256, 0.000], [2.027, 8.256, 0.000], [0.000, 0.000, 6.603]], "species": ["Y", "Y", "Zn", "Zn", "Zn", "Zn", "Zn", "Zn", "Zn", "Zn", "Ag", "Ag"], "frac_coords": [[0.112, 0.888, 0.750], [0.888, 0.112, 0.250], [0.072, 0.928, 0.250], [0.339, 0.661, 0.556], [0.339, 0.661, 0.944], [0.500, 0.500, 0.000], [0.500, 0.500, 0.500], [0.661, 0.339, 0.056], [0.661, 0.339, 0.444], [0.928, 0.072, 0.750], [0.237, 0.763, 0.250], [0.763, 0.237, 0.750]]}

---

--- 2 ---
{"formula": "YZn4Ag", "functional": "PBE", "state": "optimized geometry", "dos_ef_per_ev_cell": 2.89, "cell": [[4.392, 0.000, 0.000], [-2.196, 3.804, 0.000], [0.000, 0.000, 6.483]], "species": ["Y", "Zn", "Zn", "Zn", "Zn", "Ag"], "frac_coords": [[0.000, 0.000, 0.000], [0.333, 0.667, 0.280], [0.333, 0.667, 0.720], [0.667, 0.333, 0.280], [0.667, 0.333, 0.720], [0.000, 0.000, 0.500]]}

---

--- 3 ---
{"formula": "YZn4Ag", "functional": "PBE", "state": "optimized geometry", "dos_ef_per_ev_cell": 3.23, "cell": [[0.000, 3.759, 3.759], [3.759, 0.000, 3.759], [3.759, 3.759, 0.000]], "species": ["Y", "Zn", "Zn", "Zn", "Zn", "Ag"], "frac_coords": [[0.000, 0.000, 0.000], [0.375, 0.375, 0.375], [0.375, 0.375, 0.876], [0.375, 0.876, 0.375], [0.876, 0.375, 0.375], [0.750, 0.750, 0.750]]}

---

The most stable of them is 2.

---

--- 1 ---
{"formula": "YZn2Ag2", "functional": "PBE", "state": "optimized geometry", "dos_ef_per_ev_cell": 2.86, "cell": [[-2.069, 2.069, 5.772], [2.069, -2.069, 5.772], [2.069, 2.069, -5.772]], "species": ["Y", "Zn", "Zn", "Ag", "Ag"], "frac_coords": [[0.000, 0.000, 0.000], [0.394, 0.394, 0.000], [0.606, 0.606, 0.000], [0.250, 0.750, 0.500], [0.750, 0.250, 0.500]]}

---

--- 2 ---
{"formula": "YZn2Ag2", "functional": "PBE", "state": "optimized geometry", "dos_ef_per_ev_cell": 4.44, "cell": [[1.826, -6.539, 0.000], [1.826, 6.539, 0.000], [0.000, 0.000, 8.418]], "species": ["Y", "Y", "Zn", "Zn", "Zn", "Zn", "Ag", "Ag", "Ag", "Ag"], "frac_coords": [[0.085, 0.915, 0.750], [0.915, 0.085, 0.250], [0.242, 0.758, 0.106], [0.242, 0.758, 0.394], [0.758, 0.242, 0.606], [0.758, 0.242, 0.894], [0.410, 0.590, 0.583], [0.410, 0.590, 0.917], [0.590, 0.410, 0.083], [0.590, 0.410, 0.417]]}

---

The most stable of them is 1.

---

--- 1 ---
{"formula": "YZn2Ag2", "functional": "PBE", "state": "optimized geometry", "dos_ef_per_ev_cell": 6.32, "cell": [[7.962, 0.000, 0.000], [0.000, 7.962, 0.000], [0.000, 0.000, 2.994]], "species": ["Y", "Y", "Zn", "Zn", "Zn", "Zn", "Ag", "Ag", "Ag", "Ag"], "frac_coords": [[0.000, 0.000, 0.000], [0.500, 0.500, 0.000], [0.169, 0.331, 0.500], [0.331, 0.831, 0.500], [0.669, 0.169, 0.500], [0.831, 0.669, 0.500], [0.128, 0.628, 0.000], [0.372, 0.128, 0.000], [0.628, 0.872, 0.000], [0.872, 0.372, 0.000]]}

---

--- 2 ---
{"formula": "YZn2Ag2", "functional": "PBE", "state": "optimized geometry", "dos_ef_per_ev_cell": 4.54, "cell": [[4.846, 0.000, 0.000], [2.282, 5.148, 0.000], [2.352, 1.410, 7.668]], "species": ["Y", "Y", "Zn", "Zn", "Zn", "Zn", "Ag", "Ag", "Ag", "Ag"], "frac_coords": [[0.249, 0.252, 0.251], [0.751, 0.748, 0.749], [0.131, 0.763, 0.989], [0.369, 0.737, 0.509], [0.631, 0.263, 0.491], [0.869, 0.237, 0.011], [0.088, 0.157, 0.671], [0.413, 0.339, 0.831], [0.587, 0.661, 0.169], [0.912, 0.843, 0.329]]}

---

The most stable of them is 2.

---

--- 1 ---
{"formula": "Y3ZnAg", "functional": "PBE", "state": "optimized geometry", "dos_ef_per_ev_cell": 7.89, "cell": [[5.399, 0.000, 0.000], [0.000, 5.399, 0.000], [0.000, 0.000, 5.399]], "species": ["Y", "Y", "Y", "Zn", "Ag"], "frac_coords": [[0.000, 0.000, 0.500], [0.000, 0.500, 0.000], [0.500, 0.000, 0.000], [0.000, 0.000, 0.000], [0.500, 0.500, 0.500]]}

---

--- 2 ---
{"formula": "Y3ZnAg", "functional": "PBE", "state": "optimized geometry", "dos_ef_per_ev_cell": 11.33, "cell": [[2.558, -9.760, 0.000], [2.558, 9.760, 0.000], [0.000, 0.000, 5.119]], "species": ["Y", "Y", "Y", "Y", "Y", "Y", "Zn", "Zn", "Ag", "Ag"], "frac_coords": [[0.065, 0.935, 0.750], [0.249, 0.751, 0.750], [0.433, 0.567, 0.750], [0.567, 0.433, 0.250], [0.751, 0.249, 0.250], [0.935, 0.065, 0.250], [0.156, 0.844, 0.250], [0.844, 0.156, 0.750], [0.340, 0.660, 0.250], [0.660, 0.340, 0.750]]}

---

The most stable of them is 2.

---

--- 1 ---
{"formula": "YZn2Ag3", "functional": "PBE", "state": "optimized geometry", "dos_ef_per_ev_cell": 3.53, "cell": [[4.619, 0.000, 0.000], [-2.309, 4.000, 0.000], [0.000, 0.000, 12.381]], "species": ["Y", "Y", "Zn", "Zn", "Zn", "Zn", "Ag", "Ag", "Ag", "Ag", "Ag", "Ag"], "frac_coords": [[0.000, 0.000, 0.250], [0.000, 0.000, 0.750], [0.333, 0.667, 0.119], [0.333, 0.667, 0.381], [0.667, 0.333, 0.619], [0.667, 0.333, 0.881], [0.000, 0.000, 0.000], [0.000, 0.000, 0.500], [0.333, 0.667, 0.607], [0.333, 0.667, 0.893], [0.667, 0.333, 0.107], [0.667, 0.333, 0.393]]}

---

--- 2 ---
{"formula": "YZn2Ag3", "functional": "PBE", "state": "optimized geometry", "dos_ef_per_ev_cell": 6.81, "cell": [[4.830, -4.486, 0.000], [4.830, 4.486, 0.000], [0.000, 0.000, 5.393]], "species": ["Y", "Y", "Zn", "Zn", "Zn", "Zn", "Ag", "Ag", "Ag", "Ag", "Ag", "Ag"], "frac_coords": [[0.161, 0.839, 0.750], [0.839, 0.161, 0.250], [0.257, 0.257, 0.000], [0.257, 0.257, 0.500], [0.743, 0.743, 0.000], [0.743, 0.743, 0.500], [0.064, 0.598, 0.250], [0.402, 0.936, 0.250], [0.486, 0.514, 0.250], [0.514, 0.486, 0.750], [0.598, 0.064, 0.750], [0.936, 0.402, 0.750]]}

---

The most stable of them is 1.

---

--- 1 ---
{"formula": "YZrAg", "functional": "PBE", "state": "optimized geometry", "dos_ef_per_ev_cell": 14.69, "cell": [[7.250, 0.000, 0.000], [0.000, 4.721, 0.000], [0.000, 0.000, 8.638]], "species": ["Y", "Y", "Y", "Y", "Zr", "Zr", "Zr", "Zr", "Ag", "Ag", "Ag", "Ag"], "frac_coords": [[0.033, 0.250, 0.180], [0.467, 0.750, 0.680], [0.533, 0.250, 0.320], [0.967, 0.750, 0.820], [0.132, 0.250, 0.564], [0.368, 0.750, 0.064], [0.632, 0.250, 0.936], [0.868, 0.750, 0.436], [0.245, 0.250, 0.878], [0.255, 0.750, 0.378], [0.745, 0.250, 0.622], [0.755, 0.750, 0.122]]}

---

--- 2 ---
{"formula": "YZrAg", "functional": "PBE", "state": "optimized geometry", "dos_ef_per_ev_cell": 7.05, "cell": [[5.302, 0.000, 0.000], [0.000, 3.383, 0.000], [-2.572, 0.000, 7.938]], "species": ["Y", "Y", "Zr", "Zr", "Ag", "Ag"], "frac_coords": [[0.000, 0.000, 0.000], [0.348, 0.000, 0.664], [0.520, 0.500, 0.042], [0.675, 0.000, 0.352], [0.159, 0.500, 0.325], [0.859, 0.500, 0.674]]}

---

--- 3 ---
{"formula": "YZrAg", "functional": "PBE", "state": "optimized geometry", "dos_ef_per_ev_cell": 7.69, "cell": [[1.741, -6.727, 0.000], [1.741, 6.727, 0.000], [0.000, 0.000, 6.376]], "species": ["Y", "Y", "Zr", "Zr", "Ag", "Ag"], "frac_coords": [[0.185, 0.815, 0.500], [0.815, 0.185, 0.000], [0.500, 0.500, 0.249], [0.500, 0.500, 0.749], [0.127, 0.873, 0.999], [0.873, 0.127, 0.499]]}

---

--- 4 ---
{"formula": "YZrAg", "functional": "PBE", "state": "optimized geometry", "dos_ef_per_ev_cell": 5.80, "cell": [[8.007, -1.694, 0.000], [8.007, 1.694, 0.000], [-0.190, 0.000, 5.264]], "species": ["Y", "Y", "Zr", "Zr", "Ag", "Ag"], "frac_coords": [[0.000, 0.000, 0.000], [0.690, 0.690, 0.029], [0.144, 0.144, 0.522], [0.817, 0.817, 0.556], [0.346, 0.346, 0.078], [0.481, 0.481, 0.500]]}

---

The most stable of them is 4.

---

--- 1 ---
{"formula": "Y3ZrAg", "functional": "PBE", "state": "optimized geometry", "dos_ef_per_ev_cell": 3.48, "cell": [[5.504, 0.000, 0.000], [0.000, 5.504, 0.000], [0.000, 0.000, 5.504]], "species": ["Y", "Y", "Y", "Zr", "Ag"], "frac_coords": [[0.000, 0.000, 0.500], [0.000, 0.500, 0.000], [0.500, 0.000, 0.000], [0.000, 0.000, 0.000], [0.500, 0.500, 0.500]]}

---

--- 2 ---
{"formula": "Y3ZrAg", "functional": "PBE", "state": "optimized geometry", "dos_ef_per_ev_cell": 7.76, "cell": [[5.480, 0.000, 0.000], [0.000, 5.480, 0.000], [0.000, 0.000, 5.480]], "species": ["Y", "Y", "Y", "Zr", "Ag"], "frac_coords": [[0.000, 0.000, 0.500], [0.000, 0.500, 0.000], [0.500, 0.000, 0.000], [0.500, 0.500, 0.500], [0.000, 0.000, 0.000]]}

---

The most stable of them is 2.

---

--- 1 ---
{"formula": "YZr3Ag", "functional": "PBE", "state": "optimized geometry", "dos_ef_per_ev_cell": 8.69, "cell": [[5.218, 0.000, 0.000], [0.000, 5.218, 0.000], [0.000, 0.000, 5.218]], "species": ["Y", "Zr", "Zr", "Zr", "Ag"], "frac_coords": [[0.000, 0.000, 0.000], [0.000, 0.500, 0.500], [0.500, 0.000, 0.500], [0.500, 0.500, 0.000], [0.500, 0.500, 0.500]]}

---

--- 2 ---
{"formula": "YZr3Ag", "functional": "PBE", "state": "optimized geometry", "dos_ef_per_ev_cell": 7.57, "cell": [[5.186, 0.000, 0.000], [0.000, 5.186, 0.000], [0.000, 0.000, 5.186]], "species": ["Y", "Zr", "Zr", "Zr", "Ag"], "frac_coords": [[0.000, 0.000, 0.000], [0.000, 0.000, 0.500], [0.000, 0.500, 0.000], [0.500, 0.000, 0.000], [0.500, 0.500, 0.500]]}

---

The most stable of them is 1.

---

--- 1 ---
{"formula": "ZnAg2", "functional": "PBE", "state": "optimized geometry", "dos_ef_per_ev_cell": 2.51, "cell": [[7.728, 0.000, 0.000], [-3.864, 6.693, 0.000], [0.000, 0.000, 2.910]], "species": ["Zn", "Zn", "Zn", "Ag", "Ag", "Ag", "Ag", "Ag", "Ag"], "frac_coords": [[0.000, 0.000, 0.000], [0.333, 0.667, 0.500], [0.667, 0.333, 0.500], [0.000, 0.301, 0.500], [0.000, 0.634, 0.000], [0.301, 0.000, 0.500], [0.366, 0.366, 0.000], [0.634, 0.000, 0.000], [0.699, 0.699, 0.500]]}

---

--- 2 ---
{"formula": "ZnAg2", "functional": "PBE", "state": "optimized geometry", "dos_ef_per_ev_cell": 0.87, "cell": [[4.503, 0.000, 0.000], [-2.252, 3.900, 0.000], [0.000, 0.000, 2.888]], "species": ["Zn", "Ag", "Ag"], "frac_coords": [[0.000, 0.000, 0.000], [0.333, 0.667, 0.724], [0.667, 0.333, 0.276]]}

---

The most stable of them is 1.